Entry from OQMD via LeMat-Bulk: a relaxed Tm9Fe10Ge10 crystal (PBE).

Geometry as CIF:
```
data_Tm9Fe10Ge10
_cell_length_a 5.346
_cell_length_b 13.232
_cell_length_c 13.959
_cell_angle_alpha 90.00
_cell_angle_beta 90.00
_cell_angle_gamma 90.00
_symmetry_space_group_name_H-M 'I m m m'
_symmetry_Int_Tables_number 71
_symmetry_space_group_name_Hall '-I 2 2'
loop_
_atom_site_label
_atom_site_type_symbol
_atom_site_fract_x
_atom_site_fract_y
_atom_site_fract_z
Tm1 Tm 0.000 0.000 0.000
Tm2 Tm 0.000 0.147 0.365
Tm3 Tm 0.000 0.280 0.000
Tm4 Tm 0.000 0.500 0.197
Fe1 Fe 0.000 0.500 0.406
Fe2 Fe 0.243 0.357 0.346
Ge1 Ge 0.000 0.000 0.208
Ge2 Ge 0.000 0.288 0.205
Ge3 Ge 0.000 0.328 0.500
Ge4 Ge 0.247 0.500 0.000
```

Output
Calculated volume = 17.025 A^3/atom
Crystal system = orthorhombic
Total magnetization = 15.71 μB per formula unit
Raw total energy = -6.397 eV/atom


Entry from OQMD via LeMat-Bulk: a relaxed U3Fe2Ge7 crystal (PBE).

Geometry as CIF:
```
data_U3Fe2Ge7
_cell_length_a 4.152
_cell_length_b 24.969
_cell_length_c 4.156
_cell_angle_alpha 90.00
_cell_angle_beta 90.00
_cell_angle_gamma 90.00
_symmetry_space_group_name_H-M 'C m m m'
_symmetry_Int_Tables_number 65
_symmetry_space_group_name_Hall '-C 2 2'
loop_
_atom_site_label
_atom_site_type_symbol
_atom_site_fract_x
_atom_site_fract_y
_atom_site_fract_z
U1 U 0.000 0.000 0.000
U2 U 0.000 0.316 0.500
Fe1 Fe 0.000 0.128 0.000
Ge1 Ge 0.000 0.087 0.500
Ge2 Ge 0.000 0.221 0.000
Ge3 Ge 0.000 0.413 0.000
Ge4 Ge 0.000 0.500 0.500
```

Output
Calculated volume = 17.955 A^3/atom
Crystal system = orthorhombic
Total magnetization = 4.38 μB per formula unit
Raw total energy = -7.179 eV/atom


Entry from OQMD via LeMat-Bulk: a relaxed FeGe2W crystal (PBE).

Geometry as CIF:
```
data_FeGe2W
_cell_length_a 6.218
_cell_length_b 6.218
_cell_length_c 6.218
_cell_angle_alpha 90.00
_cell_angle_beta 90.00
_cell_angle_gamma 90.00
_symmetry_space_group_name_H-M 'F -4 3 m'
_symmetry_Int_Tables_number 216
_symmetry_space_group_name_Hall 'F -4 2 3'
loop_
_atom_site_label
_atom_site_type_symbol
_atom_site_fract_x
_atom_site_fract_y
_atom_site_fract_z
Fe1 Fe 0.000 0.000 0.000
Ge1 Ge 0.000 0.000 0.500
Ge2 Ge 0.250 0.250 0.250
W1 W 0.250 0.250 0.750
```

Output
Calculated volume = 15.028 A^3/atom
Crystal system = cubic
Total magnetization = 1.90 μB per formula unit
Raw total energy = -7.139 eV/atom


Entry from OQMD via LeMat-Bulk: a relaxed Fe2Ge2W3 crystal (PBE).

Geometry as CIF:
```
data_Fe2Ge2W3
_cell_length_a 4.3056
_cell_length_b 4.3056
_cell_length_c 18.4947
_cell_angle_alpha 90.00
_cell_angle_beta 90.00
_cell_angle_gamma 120.00
_symmetry_space_group_name_H-M 'R 3 m'
_symmetry_Int_Tables_number 160
_symmetry_space_group_name_Hall 'R 3 -2"'
loop_
_atom_site_label
_atom_site_type_symbol
_atom_site_fract_x
_atom_site_fract_y
_atom_site_fract_z
Fe1 Fe 0.0000 0.0000 0.0000
Fe2 Fe 0.0000 0.0000 0.4286
Ge1 Ge 0.0000 0.0000 0.1393
Ge2 Ge 0.0000 0.0000 0.7131
W1 W 0.0000 0.0000 0.2934
W2 W 0.0000 0.0000 0.5716
W3 W 0.0000 0.0000 0.8564
```

Output
Calculated volume = 14.139 A^3/atom
Crystal system = trigonal
Total magnetization = 1.39 μB per formula unit
Raw total energy = -9.065 eV/atom


Entry from OQMD via LeMat-Bulk: a relaxed FeGeW2 crystal (PBE).

Geometry as CIF:
```
data_FeGeW2
_cell_length_a 6.125
_cell_length_b 6.125
_cell_length_c 6.125
_cell_angle_alpha 90.00
_cell_angle_beta 90.00
_cell_angle_gamma 90.00
_symmetry_space_group_name_H-M 'F -4 3 m'
_symmetry_Int_Tables_number 216
_symmetry_space_group_name_Hall 'F -4 2 3'
loop_
_atom_site_label
_atom_site_type_symbol
_atom_site_fract_x
_atom_site_fract_y
_atom_site_fract_z
Fe1 Fe 0.000 0.000 0.000
Ge1 Ge 0.250 0.250 0.750
W1 W 0.000 0.000 0.500
W2 W 0.250 0.250 0.250
```

Output
Calculated volume = 14.361 A^3/atom
Crystal system = cubic
Total magnetization = 0.02 μB per formula unit
Raw total energy = -9.404 eV/atom


Entry from OQMD via LeMat-Bulk: a relaxed Fe2GeW crystal (PBE).

Geometry as CIF:
```
data_Fe2GeW
_cell_length_a 5.897
_cell_length_b 5.897
_cell_length_c 5.897
_cell_angle_alpha 90.00
_cell_angle_beta 90.00
_cell_angle_gamma 90.00
_symmetry_space_group_name_H-M 'F -4 3 m'
_symmetry_Int_Tables_number 216
_symmetry_space_group_name_Hall 'F -4 2 3'
loop_
_atom_site_label
_atom_site_type_symbol
_atom_site_fract_x
_atom_site_fract_y
_atom_site_fract_z
Fe1 Fe 0.000 0.000 0.000
Fe2 Fe 0.250 0.250 0.250
Ge1 Ge 0.000 0.000 0.500
W1 W 0.250 0.250 0.750
```

Output
Calculated volume = 12.815 A^3/atom
Crystal system = cubic
Total magnetization = 3.28 μB per formula unit
Raw total energy = -8.386 eV/atom


Entry from OQMD via LeMat-Bulk: a relaxed YFeGeW crystal (PBE).

Geometry as CIF:
```
data_YFeGeW
_cell_length_a 6.448
_cell_length_b 6.448
_cell_length_c 6.448
_cell_angle_alpha 90.00
_cell_angle_beta 90.00
_cell_angle_gamma 90.00
_symmetry_space_group_name_H-M 'F -4 3 m'
_symmetry_Int_Tables_number 216
_symmetry_space_group_name_Hall 'F -4 2 3'
loop_
_atom_site_label
_atom_site_type_symbol
_atom_site_fract_x
_atom_site_fract_y
_atom_site_fract_z
Y1 Y 0.000 0.000 0.000
Fe1 Fe 0.250 0.250 0.750
Ge1 Ge 0.000 0.000 0.500
W1 W 0.250 0.250 0.250
```

Output
Calculated volume = 16.753 A^3/atom
Crystal system = cubic
ΔE to the lowest computed polymorph = 0 meV per atom
Total magnetization = 2.91 μB per formula unit


Entry from OQMD via LeMat-Bulk: a relaxed YFeGeW crystal (PBE).

Geometry as CIF:
```
data_YFeGeW
_cell_length_a 6.534
_cell_length_b 6.534
_cell_length_c 6.534
_cell_angle_alpha 90.00
_cell_angle_beta 90.00
_cell_angle_gamma 90.00
_symmetry_space_group_name_H-M 'F -4 3 m'
_symmetry_Int_Tables_number 216
_symmetry_space_group_name_Hall 'F -4 2 3'
loop_
_atom_site_label
_atom_site_type_symbol
_atom_site_fract_x
_atom_site_fract_y
_atom_site_fract_z
Y1 Y 0.000 0.000 0.000
Fe1 Fe 0.000 0.000 0.500
Ge1 Ge 0.250 0.250 0.250
W1 W 0.250 0.250 0.750
```

Output
Calculated volume = 17.438 A^3/atom
Crystal system = cubic
ΔE to the lowest computed polymorph = 53 meV per atom
Total magnetization = 2.82 μB per formula unit